11
Lattice="4.929 -4.239 0.000 4.929 4.239 0.000 -0.978 0.000 9.069" Properties=species:S:1:pos:R:3 comment="PBE PaGa2Cl8, relaxed" e_above_lowest_polymorph_ev_per_fu=0.000 raw_formation_energy_ev_per_atom=-1.39 energy_ev_per_atom=-4.142 n_ef_per_ev_atom=0.1533 volume_a3_per_atom=34.45 pbc="T T T"
Pa 0.000 0.000 0.000
Ga 0.414 0.000 3.712
Ga 8.466 0.000 5.357
Cl 3.892 2.506 6.929
Cl 4.989 2.506 2.140
Cl 1.566 0.000 9.010
Cl 2.519 0.000 4.174
Cl 6.361 0.000 4.895
Cl 7.314 0.000 0.059
Cl 3.892 -2.506 6.929
Cl 4.989 -2.506 2.140


4
Lattice="1.741 1.005 10.097 -1.741 1.005 10.097 0.000 -2.010 10.097" Properties=species:S:1:pos:R:3 comment="PBE PaGaCl2, relaxed" raw_formation_energy_ev_per_atom=-0.56 energy_ev_per_atom=-4.616 n_ef_per_ev_atom=1.0933 volume_a3_per_atom=26.50 pbc="T T T"
Pa 0.000 0.000 0.000
Ga 0.000 0.000 15.145
Cl 0.000 0.000 2.577
Cl 0.000 0.000 27.713


11
Lattice="6.432 0.000 0.000 0.910 7.628 0.000 0.885 2.022 7.363" Properties=species:S:1:pos:R:3 comment="PBE PaGa2Cl8, relaxed" e_above_lowest_polymorph_ev_per_fu=0.456 raw_formation_energy_ev_per_atom=-1.34 energy_ev_per_atom=-4.101 n_ef_per_ev_atom=0.2670 volume_a3_per_atom=32.84 pbc="T T T"
Pa 0.000 0.000 0.000
Ga 2.327 4.584 3.486
Ga 5.900 5.065 3.876
Cl 1.305 1.722 1.313
Cl 2.405 2.409 5.311
Cl 2.428 5.749 0.922
Cl 3.795 6.103 4.642
Cl 4.432 3.546 2.721
Cl 5.798 3.901 6.441
Cl 5.822 7.241 2.051
Cl 6.921 7.928 6.050


9
Lattice="3.858 2.228 6.300 -3.858 2.228 6.300 0.000 -4.455 6.300" Properties=species:S:1:pos:R:3 comment="PBE PaGa2Cl6, relaxed" raw_formation_energy_ev_per_atom=-1.37 energy_ev_per_atom=-4.326 volume_a3_per_atom=36.10 pbc="T T T"
Pa 0.000 0.000 0.000
Ga 0.000 0.000 3.857
Ga 0.000 0.000 15.043
Cl -0.875 -2.545 7.926
Cl -2.641 -0.514 10.975
Cl -1.766 2.030 7.926
Cl 1.766 -2.030 10.975
Cl 2.641 0.514 7.926
Cl 0.875 2.545 10.975


6
Lattice="5.692 -1.661 0.000 5.692 1.661 0.000 -1.964 0.000 9.682" Properties=species:S:1:pos:R:3 comment="PBE PaGaCl, relaxed" raw_formation_energy_ev_per_atom=-0.48 energy_ev_per_atom=-5.270 n_ef_per_ev_atom=1.4093 volume_a3_per_atom=30.51 pbc="T T T"
Pa 0.901 0.000 3.708
Pa 8.520 0.000 5.974
Ga 4.028 0.000 3.681
Ga 5.393 0.000 6.001
Cl 1.518 0.000 1.277
Cl 7.903 0.000 8.405


26
Lattice="10.066 -3.975 0.000 10.066 3.975 0.000 -5.999 0.000 12.005" Properties=species:S:1:pos:R:3 comment="PBE PaGa3Cl9, relaxed" raw_formation_energy_ev_per_atom=-1.26 energy_ev_per_atom=-3.967 n_ef_per_ev_atom=0.1369 volume_a3_per_atom=36.95 pbc="T T T"
Pa 7.067 2.203 6.003
Pa 10.066 -2.203 0.000
Ga -2.214 0.400 9.850
Ga 0.785 -0.400 3.847
Ga 2.899 0.724 7.435
Ga 5.899 -0.724 1.432
Ga 10.808 0.413 9.347
Ga 13.808 -0.413 3.344
Cl -1.571 0.107 7.682
Cl 1.428 -0.107 1.679
Cl 8.655 3.038 3.721
Cl 5.646 0.845 4.308
Cl 5.690 1.377 8.026
Cl 8.065 2.517 10.933
Cl 12.037 1.947 4.634
Cl 2.646 -0.845 10.311
Cl 8.933 0.515 6.505
Cl 8.690 -1.377 2.023
Cl 11.932 -0.515 0.503
Cl 15.414 0.856 1.875
Cl 15.574 0.273 5.557
Cl 5.656 -3.038 9.724
Cl 12.415 -0.856 7.877
Cl 12.574 -0.273 11.559
Cl 9.038 -1.947 10.637
Cl 11.065 -2.517 4.930


20
Lattice="8.690 -4.126 0.000 8.690 4.126 0.000 -7.773 0.000 10.184" Properties=species:S:1:pos:R:3 comment="PBE PaGa2Cl7, relaxed" raw_formation_energy_ev_per_atom=-1.38 energy_ev_per_atom=-4.223 n_ef_per_ev_atom=0.0000 volume_a3_per_atom=36.52 pbc="T T T"
Pa 2.860 2.515 7.638
Pa 6.747 -2.515 2.546
Ga -0.298 1.923 9.993
Ga 6.019 1.923 5.283
Ga 3.588 -1.923 4.901
Ga 9.906 -1.923 0.191
Cl 0.498 1.190 3.203
Cl 3.393 2.975 5.094
Cl 6.747 3.100 2.546
Cl 2.328 2.975 10.182
Cl -3.388 -1.190 8.295
Cl 1.512 0.286 8.502
Cl 5.399 -0.286 3.410
Cl 4.208 0.286 6.774
Cl 8.095 -0.286 1.682
Cl 12.996 1.190 1.890
Cl 7.280 -2.975 0.002
Cl 2.860 -3.100 7.638
Cl 6.214 -2.975 5.090
Cl 9.109 -1.190 6.982


18
Lattice="7.845 0.000 0.000 -3.922 6.794 0.000 0.000 0.000 11.956" Properties=species:S:1:pos:R:3 comment="PBE RbPaGaCl6, relaxed" raw_formation_energy_ev_per_atom=-1.67 energy_ev_per_atom=-4.400 n_ef_per_ev_atom=0.0614 volume_a3_per_atom=35.40 pbc="T T T"
Rb 0.000 4.529 2.989
Rb 3.922 2.265 8.967
Pa 0.000 4.529 8.967
Pa 3.922 2.265 2.989
Ga 0.000 0.000 0.000
Ga 0.000 0.000 5.978
Cl -0.993 2.579 7.451
Cl -2.186 4.644 10.483
Cl 0.993 2.579 10.483
Cl -1.193 6.365 7.451
Cl 2.730 0.429 1.473
Cl 1.737 2.149 4.505
Cl 2.186 4.644 7.451
Cl 1.193 6.365 10.483
Cl 5.115 0.429 4.505
Cl 2.929 4.215 1.473
Cl 6.108 2.149 1.473
Cl 4.915 4.215 4.505


12
Lattice="7.003 0.000 0.000 0.470 7.123 0.000 0.007 0.003 9.263" Properties=species:S:1:pos:R:3 comment="PBE PaTl2GaCl8, relaxed" raw_formation_energy_ev_per_atom=-1.38 energy_ev_per_atom=-4.054 volume_a3_per_atom=38.50 pbc="T T T"
Pa 0.000 0.000 0.000
Tl 3.738 3.564 6.744
Tl 3.742 3.562 2.519
Ga 0.004 0.002 4.631
Cl 1.690 4.882 0.004
Cl 1.560 0.861 1.855
Cl 1.566 0.857 7.405
Cl 2.212 4.912 4.629
Cl 5.268 2.214 4.633
Cl 5.914 6.269 1.857
Cl 5.921 6.265 7.408
Cl 5.790 2.244 9.259


19
Lattice="5.060 2.922 6.703 -5.060 2.922 6.703 0.000 -5.843 6.703" Properties=species:S:1:pos:R:3 comment="PBE Ga6PbCl12, relaxed" raw_formation_energy_ev_per_atom=-0.79 energy_ev_per_atom=-3.105 n_ef_per_ev_atom=0.4594 volume_a3_per_atom=31.30 pbc="T T T"
Ga -1.738 -0.232 5.684
Ga 1.069 -1.389 5.684
Ga 0.668 1.621 5.684
Ga -0.668 -1.621 14.427
Ga -1.069 1.389 14.427
Ga 1.738 0.232 14.427
Pb 0.000 0.000 0.000
Cl -1.588 -4.099 8.420
Cl -4.344 -0.675 11.690
Cl -2.189 -0.559 8.024
Cl -2.756 3.425 8.420
Cl -0.610 -2.175 12.086
Cl 1.579 -1.616 8.024
Cl -1.579 1.616 12.086
Cl 0.610 2.175 8.024
Cl 2.756 -3.425 11.690
Cl 2.189 0.559 12.086
Cl 4.344 0.675 8.420
Cl 1.588 4.099 11.690


10
Lattice="8.695 -2.228 0.000 8.695 2.228 0.000 -4.931 0.000 8.051" Properties=species:S:1:pos:R:3 comment="PBE GaPbCl3, relaxed" raw_formation_energy_ev_per_atom=-0.97 energy_ev_per_atom=-3.428 n_ef_per_ev_atom=0.0000 volume_a3_per_atom=31.19 pbc="T T T"
Ga -0.127 0.000 3.513
Ga 12.587 0.000 4.539
Pb 1.349 0.000 7.585
Pb 11.111 0.000 0.466
Cl -1.534 0.000 6.875
Cl 2.440 0.000 2.512
Cl 4.165 0.000 6.322
Cl 8.295 0.000 1.729
Cl 10.019 0.000 5.539
Cl 13.993 0.000 1.177


32
Lattice="5.988 3.457 10.665 -5.988 3.457 10.665 0.000 -6.915 10.665" Properties=species:S:1:pos:R:3 comment="PBE Ga3PbCl12, relaxed" raw_formation_energy_ev_per_atom=-1.01 energy_ev_per_atom=-3.198 n_ef_per_ev_atom=0.6413 volume_a3_per_atom=41.40 pbc="T T T"
Ga -2.762 -1.698 10.665
Ga -0.090 3.242 10.665
Ga 2.852 -1.543 10.665
Ga -2.852 -1.543 26.663
Ga 2.762 -1.698 26.663
Ga 0.090 3.242 26.663
Pb 0.000 0.000 6.411
Pb 0.000 0.000 22.408
Cl -2.465 -0.176 9.111
Cl -4.416 -1.504 16.947
Cl -4.917 1.593 15.114
Cl -0.906 -2.339 11.614
Cl -1.791 -4.431 17.520
Cl 1.385 -2.047 9.111
Cl 1.078 -5.055 15.114
Cl -1.572 1.954 11.614
Cl -1.072 -1.864 20.447
Cl -3.046 0.309 22.852
Cl 1.080 2.223 9.111
Cl -2.942 3.766 17.520
Cl -1.385 -2.047 25.108
Cl 2.478 0.385 11.614
Cl -1.078 1.860 20.447
Cl 3.510 -3.072 16.947
Cl 1.256 -2.793 22.852
Cl -1.080 2.223 25.108
Cl 2.150 0.004 20.447
Cl 0.906 4.576 16.947
Cl 3.838 3.461 15.114
Cl 4.733 0.665 17.520
Cl 2.465 -0.176 25.108
Cl 1.791 2.484 22.852


80
Lattice="-8.507 8.507 8.507 8.507 -8.507 8.507 8.507 8.507 -8.507" Properties=species:S:1:pos:R:3 comment="PBE Ga5Pb3Cl12, relaxed" raw_formation_energy_ev_per_atom=-0.80 energy_ev_per_atom=-3.224 n_ef_per_ev_atom=0.7248 volume_a3_per_atom=30.78 pbc="T T T"
Ga 0.000 0.000 0.000
Ga 4.253 4.253 -4.253
Ga 4.253 -4.253 4.253
Ga 8.507 0.000 0.000
Ga 12.760 2.127 0.000
Ga 8.507 -4.253 6.380
Ga 6.380 8.507 -4.253
Ga 6.380 0.000 4.253
Ga 4.253 6.380 0.000
Ga 8.507 4.253 2.127
Ga -4.253 4.253 4.253
Ga 0.000 8.507 0.000
Ga 0.000 0.000 8.507
Ga 4.253 4.253 4.253
Ga 0.000 4.253 6.380
Ga 4.253 2.127 8.507
Ga 2.127 8.507 4.253
Ga 2.127 0.000 12.760
Ga 0.000 12.760 2.127
Ga -4.253 6.380 8.507
Pb 4.253 2.127 0.000
Pb 8.507 4.253 -2.127
Pb 2.127 0.000 4.253
Pb 10.633 0.000 4.253
Pb 0.000 4.253 2.127
Pb 4.253 -2.127 8.507
Pb 4.253 10.633 0.000
Pb 8.507 4.253 6.380
Pb -2.127 8.507 4.253
Pb 6.380 8.507 4.253
Pb 0.000 4.253 10.633
Pb 4.253 6.380 8.507
Cl 2.650 -0.374 1.240
Cl 10.110 5.493 -4.627
Cl 8.133 -1.240 2.650
Cl 13.134 -1.603 3.013
Cl 11.157 0.374 1.240
Cl 10.110 -3.013 4.627
Cl 1.240 2.650 -0.374
Cl 11.520 3.879 -1.603
Cl 5.493 4.627 -1.603
Cl 7.267 2.650 0.374
Cl -0.374 1.240 2.650
Cl 4.627 -1.603 5.493
Cl 8.133 7.267 -2.650
Cl 4.627 1.603 3.013
Cl 7.267 -2.650 8.133
Cl 5.493 -4.627 10.110
Cl 3.013 4.627 1.603
Cl 9.747 5.856 0.374
Cl 2.650 8.133 -1.240
Cl 10.110 3.013 3.879
Cl 4.627 10.110 -3.013
Cl 8.133 1.240 5.856
Cl 1.603 3.013 4.627
Cl 2.650 0.374 7.267
Cl 5.856 8.133 1.240
Cl 6.903 5.493 3.879
Cl 0.374 7.267 2.650
Cl 3.879 -1.603 11.520
Cl -1.603 5.493 4.627
Cl 5.856 0.374 9.747
Cl -1.240 2.650 8.133
Cl 5.493 3.879 6.903
Cl 3.013 13.134 -1.603
Cl 1.240 11.157 0.374
Cl 3.879 6.903 5.493
Cl 0.374 1.240 11.157
Cl 3.879 10.110 3.013
Cl 8.881 7.267 5.856
Cl 1.240 5.856 8.133
Cl 3.013 3.879 10.110
Cl -3.013 4.627 10.110
Cl 7.267 5.856 8.881
Cl -1.603 11.520 3.879
Cl -2.650 8.133 7.267
Cl -4.627 10.110 5.493
Cl 0.374 9.747 5.856
Cl -1.603 3.013 13.134
Cl 5.856 8.881 7.267


18
Lattice="6.674 -6.204 0.000 6.674 6.204 0.000 -3.696 0.000 7.859" Properties=species:S:1:pos:R:3 comment="PBE Ga2PbCl6, relaxed" e_above_lowest_polymorph_ev_per_fu=0.837 raw_formation_energy_ev_per_atom=-0.93 energy_ev_per_atom=-3.244 n_ef_per_ev_atom=0.3072 volume_a3_per_atom=36.16 pbc="T T T"
Ga 1.519 0.994 1.921
Ga -0.330 -0.994 5.851
Ga 9.981 0.994 2.009
Ga 8.133 -0.994 5.939
Pb 3.901 1.045 5.895
Pb 5.750 -1.045 1.965
Cl 1.811 2.853 6.201
Cl 0.216 0.011 3.707
Cl -1.632 -0.011 7.637
Cl 3.725 1.141 2.929
Cl 5.992 2.853 5.588
Cl 1.877 -1.141 6.859
Cl 7.774 1.141 1.001
Cl 3.659 -2.853 2.271
Cl 5.926 -1.141 4.931
Cl 11.283 0.011 0.223
Cl 9.435 -0.011 4.152
Cl 7.840 -2.853 1.659


8
Lattice="3.238 1.869 5.872 -3.238 1.869 5.872 0.000 -3.739 5.872" Properties=species:S:1:pos:R:3 comment="PBE GaPbCl6, relaxed" raw_formation_energy_ev_per_atom=-0.83 energy_ev_per_atom=-3.060 n_ef_per_ev_atom=0.7831 volume_a3_per_atom=26.66 pbc="T T T"
Ga 0.000 0.000 0.000
Pb 0.000 0.000 8.808
Cl -1.053 -2.062 7.221
Cl -2.312 -0.119 10.396
Cl -1.259 1.943 7.221
Cl 1.259 -1.943 10.396
Cl 2.312 0.119 7.221
Cl 1.053 2.062 10.396


7
Lattice="-2.889 2.889 7.229 2.889 -2.889 7.229 2.889 2.889 -7.229" Properties=species:S:1:pos:R:3 comment="PBE Ga2PbCl4, relaxed" e_above_lowest_polymorph_ev_per_fu=0.311 raw_formation_energy_ev_per_atom=-0.82 energy_ev_per_atom=-3.266 n_ef_per_ev_atom=0.0000 volume_a3_per_atom=34.47 pbc="T T T"
Ga 0.000 0.000 1.871
Ga 0.000 0.000 12.587
Pb 0.000 0.000 7.229
Cl 2.889 0.000 0.000
Cl 0.000 0.000 4.360
Cl 0.000 2.889 0.000
Cl 0.000 0.000 10.098


4
Lattice="0.000 3.727 3.727 3.727 0.000 3.727 3.727 3.727 0.000" Properties=species:S:1:pos:R:3 comment="PBE GaPb2Cl, relaxed" e_above_lowest_polymorph_ev_per_fu=0.414 raw_formation_energy_ev_per_atom=-0.14 energy_ev_per_atom=-3.211 n_ef_per_ev_atom=0.2963 volume_a3_per_atom=25.88 pbc="T T T"
Ga 0.000 0.000 0.000
Pb 1.863 1.863 1.863
Pb 5.590 5.590 5.590
Cl 3.727 3.727 3.727